Record 1
# HoGa2Pt3 (PBE, optimized geometry)
# magnetic moment: 0.00 μB per cell
# density: 14.18 g/cm3
# DFT total energy: -5.761 eV/atom
data_HoGa2Pt3
_cell_length_a 4.4081
_cell_length_b 4.4081
_cell_length_c 12.3828
_cell_angle_alpha 90.00
_cell_angle_beta 90.00
_cell_angle_gamma 120.00
_symmetry_space_group_name_H-M 'P 63/m m c'
_symmetry_Int_Tables_number 194
_symmetry_space_group_name_Hall '-P 6c 2c'
loop_
_atom_site_label
_atom_site_fract_x
_atom_site_fract_y
_atom_site_fract_z
_atom_site_occupancy
Ho1 0.0000 0.0000 0.2500 1
Ga1 0.3333 0.6667 0.0866 1
Pt1 0.0000 0.0000 0.0000 1
Pt2 0.3333 0.6667 0.6262 1


Record 2
# Ho2Ga8Pt (PBE, optimized geometry)
# magnetic moment: 0.00 μB per cell
# density: 8.64 g/cm3
# DFT total energy: -4.136 eV/atom
data_Ho2Ga8Pt
_cell_length_a 4.334
_cell_length_b 4.334
_cell_length_c 11.074
_cell_angle_alpha 90.00
_cell_angle_beta 90.00
_cell_angle_gamma 90.00
_symmetry_space_group_name_H-M 'P 4/m m m'
_symmetry_Int_Tables_number 123
_symmetry_space_group_name_Hall '-P 4 2'
loop_
_atom_site_label
_atom_site_fract_x
_atom_site_fract_y
_atom_site_fract_z
_atom_site_occupancy
Ho1 0.000 0.000 0.189 1
Ga1 0.000 0.500 0.000 1
Ga2 0.000 0.500 0.372 1
Ga3 0.500 0.500 0.195 1
Pt1 0.000 0.000 0.500 1


Record 3
# HoGaSiPt2 (PBE, optimized geometry)
# magnetic moment: 0.01 μB per cell
# excess energy over the best structure of this formula in the dataset: 62 meV per atom
# density: 12.09 g/cm3
data_HoGaSiPt2
_cell_length_a 4.174
_cell_length_b 4.174
_cell_length_c 10.296
_cell_angle_alpha 90.00
_cell_angle_beta 90.00
_cell_angle_gamma 90.00
_symmetry_space_group_name_H-M 'P 4/n m m'
_symmetry_Int_Tables_number 129
loop_
_symmetry_equiv_pos_as_xyz
'x,y,z'
'-x,-y,-z'
'-y+1/2,x,z'
'y+1/2,-x,-z'
'-x+1/2,-y+1/2,z'
'x+1/2,y+1/2,-z'
'y,-x+1/2,z'
'-y,x+1/2,-z'
'x+1/2,-y,-z'
'-x+1/2,y,z'
'-y,-x,-z'
'y,x,z'
'-x,y+1/2,-z'
'x,-y+1/2,z'
'y+1/2,x+1/2,-z'
'-y+1/2,-x+1/2,z'
loop_
_atom_site_label
_atom_site_fract_x
_atom_site_fract_y
_atom_site_fract_z
_atom_site_occupancy
Ho1 0.250 0.250 0.241 1
Ga1 0.250 0.250 0.641 1
Si1 0.250 0.750 0.000 1
Pt1 0.250 0.250 0.881 1
Pt2 0.250 0.750 0.500 1


Record 4
# HoGaSiPt2 (PBE, optimized geometry)
# magnetic moment: 0.00 μB per cell
# excess energy over the best structure of this formula in the dataset: 0 meV per atom
# density: 12.10 g/cm3
data_HoGaSiPt2
_cell_length_a 4.162
_cell_length_b 4.162
_cell_length_c 10.343
_cell_angle_alpha 90.00
_cell_angle_beta 90.00
_cell_angle_gamma 90.00
_symmetry_space_group_name_H-M 'P 4/n m m'
_symmetry_Int_Tables_number 129
loop_
_symmetry_equiv_pos_as_xyz
'x,y,z'
'-x,-y,-z'
'-y+1/2,x,z'
'y+1/2,-x,-z'
'-x+1/2,-y+1/2,z'
'x+1/2,y+1/2,-z'
'y,-x+1/2,z'
'-y,x+1/2,-z'
'x+1/2,-y,-z'
'-x+1/2,y,z'
'-y,-x,-z'
'y,x,z'
'-x,y+1/2,-z'
'x,-y+1/2,z'
'y+1/2,x+1/2,-z'
'-y+1/2,-x+1/2,z'
loop_
_atom_site_label
_atom_site_fract_x
_atom_site_fract_y
_atom_site_fract_z
_atom_site_occupancy
Ho1 0.250 0.250 0.249 1
Ga1 0.250 0.750 0.500 1
Si1 0.250 0.250 0.871 1
Pt1 0.250 0.250 0.646 1
Pt2 0.250 0.750 0.000 1